Entry 1:
A plane-wave DFT calculation with PBE was carried out for Ce3SiP2Ir9 after structural relaxation.

For the size of the total moment, the calculation gives 0.00 μB/cell. As for the electronic total energy: -121.77 eV per formula unit. The calculation puts the formation energy without anion corrections at -532 meV per atom. The space group is P-3m1 (164).

abc: 5.622 5.622 10.288
angles: 90.00 90.00 120.00
Sites, in units of the cell vectors:
1 Ce 0.000 0.000 0.000
2 Ce 0.333 0.667 0.588
3 Ce 0.667 0.333 0.412
4 Si 0.000 0.000 0.500
5 P 0.333 0.667 0.162
6 P 0.667 0.333 0.838
7 Ir 0.000 0.500 0.000
8 Ir 0.162 0.324 0.317
9 Ir 0.162 0.838 0.317
10 Ir 0.324 0.162 0.683
11 Ir 0.500 0.000 0.000
12 Ir 0.500 0.500 0.000
13 Ir 0.676 0.838 0.317
14 Ir 0.838 0.162 0.683
15 Ir 0.838 0.676 0.683

=====

Entry 2:
A plane-wave DFT calculation with PBE was carried out for CeSnP2Ir5 after structural relaxation.

For the size of the total moment, the calculation gives 0.63 μB/cell. As for the electronic total energy: -69.75 eV per formula unit. Its formation energy is -521.5 meV/atom. The space group is P4/mmm (123).

abc: 4.055 4.055 10.384
angles: 90.00 90.00 90.00
Sites, in units of the cell vectors:
1 Ce 0.000 0.000 0.000
2 Sn 0.000 0.000 0.500
3 P 0.500 0.500 0.221
4 P 0.500 0.500 0.779
5 Ir 0.000 0.500 0.323
6 Ir 0.000 0.500 0.677
7 Ir 0.500 0.000 0.323
8 Ir 0.500 0.000 0.677
9 Ir 0.500 0.500 0.000

=====

Entry 3:
A plane-wave DFT calculation with PBE was carried out for Ce3SnP2Ir9 after structural relaxation.

For the size of the total moment, the calculation gives 0.38 μB/cell. As for the electronic total energy: -118.67 eV per formula unit. Its formation energy is -419.5 meV/atom. The space group is P-3m1 (164).

abc: 5.637 5.637 10.729
angles: 90.00 90.00 120.00
Sites, in units of the cell vectors:
1 Ce 0.000 0.000 0.000
2 Ce 0.333 0.667 0.612
3 Ce 0.667 0.333 0.388
4 Sn 0.000 0.000 0.500
5 P 0.333 0.667 0.156
6 P 0.667 0.333 0.844
7 Ir 0.000 0.500 0.000
8 Ir 0.163 0.325 0.301
9 Ir 0.163 0.837 0.301
10 Ir 0.325 0.163 0.699
11 Ir 0.500 0.000 0.000
12 Ir 0.500 0.500 0.000
13 Ir 0.675 0.837 0.301
14 Ir 0.837 0.163 0.699
15 Ir 0.837 0.675 0.699

=====

Entry 4:
A plane-wave DFT calculation with PBE was carried out for Ce2TaP3Ir4 after structural relaxation.

For the size of the total moment, the calculation gives 0.55 μB/cell. As for the electronic total energy: -84.45 eV per formula unit. Its formation energy is -905.9 meV/atom. The space group is P-4m2 (115).

abc: 4.077 4.077 10.464
angles: 90.00 90.00 90.00
Sites, in units of the cell vectors:
1 Ce 0.000 0.500 0.236
2 Ce 0.500 0.000 0.764
3 Ta 0.000 0.000 0.500
4 P 0.000 0.500 0.867
5 P 0.500 0.000 0.133
6 P 0.500 0.500 0.500
7 Ir 0.000 0.000 0.000
8 Ir 0.000 0.500 0.641
9 Ir 0.500 0.000 0.359
10 Ir 0.500 0.500 0.000

=====

- Number 3 is which compound?
  Ce3SnP2Ir9